A plane-wave DFT calculation with PBE-GGA was carried out for a geometry-optimized PmSn3Pd2 structure.

The space group is Cmcm (No. 63) and the conventional cell measures 10.148, 9.043 and 5.831 Å, with angles of 90.00, 90.00 and 90.00 degrees. The distinct sites, in fractional coordinates, are Pm at (0.000, 0.082, 0.250), Sn at (0.000, 0.420, 0.250), Sn at (0.159, 0.238, 0.750) and Pd at (0.227, 0.500, 0.000).

The value obtained for the energy above the most stable polymorph in this dataset is 0.054 eV per atom. Its density of states at the Fermi level is 0.4260 states/eV/atom. For the formation energy, the calculation gives -0.54 eV per atom.



A plane-wave DFT calculation with PBE-GGA was carried out for a geometry-optimized PmSn2Pd3 structure.

The space group is C2/m (No. 12) and the conventional cell measures 17.843, 4.332 and 10.356 Å, with angles of 90.00, 109.21 and 90.00 degrees. The distinct sites, in fractional coordinates, are Pm at (0.000, 0.000, 0.000), Pm at (0.155, 0.000, 0.703), Sn at (0.039, 0.500, 0.786), Sn at (0.138, 0.500, 0.456), Sn at (0.196, 0.000, 0.130), Pd at (0.000, 0.500, 0.500), Pd at (0.041, 0.000, 0.340), Pd at (0.115, 0.500, 0.187), Pd at (0.184, 0.500, 0.967) and Pd at (0.212, 0.000, 0.393).

Its density of states at the Fermi level is 0.5443 states/eV/atom. For the formation energy, the calculation gives -0.72 eV per atom.



A plane-wave DFT calculation with PBE-GGA was carried out for a geometry-optimized Pm8Sn2Pd structure.

The space group is C2/m (No. 12) and the conventional cell measures 19.664, 5.083 and 6.943 Å, with angles of 90.00, 104.46 and 90.00 degrees. The distinct sites, in fractional coordinates, are Pm at (0.017, 0.000, 0.279), Pm at (0.093, 0.500, 0.974), Pm at (0.149, 0.500, 0.499), Pm at (0.215, 0.000, 0.820), Sn at (0.182, 0.000, 0.257) and Pd at (0.000, 0.500, 0.500).

Its density of states at the Fermi level is 0.8363 states/eV/atom. For the formation energy, the calculation gives -0.43 eV per atom.



A plane-wave DFT calculation with PBE-GGA was carried out for a geometry-optimized PmSn6Pd structure.

The space group is C2/m (No. 12) and the conventional cell measures 6.369, 10.944 and 6.588 Å, with angles of 90.00, 114.29 and 90.00 degrees. The distinct sites, in fractional coordinates, are Pm at (0.000, 0.000, 0.000), Sn at (0.049, 0.500, 0.266), Sn at (0.141, 0.233, 0.747) and Pd at (0.000, 0.000, 0.500).

Its density of states at the Fermi level is 0.3665 states/eV/atom. For the formation energy, the calculation gives -0.28 eV per atom.



Q: The highest formation energy belongs to which entry?
A: PmSn6Pd



Q: The lowest formation energy belongs to which entry?
A: PmSn2Pd3



Q: Which formula does entry 4 have?
A: PmSn6Pd